1.
Here is crystalline RbBaHO at its relaxed geometry from Alexandria. Energies are from PBE.

Cell: 4.6373 4.6373 11.9776 Å, 78.84 78.84 60.00°
Positions (direct):
Rb: 0.7887 0.7887 0.6338
Rb: 0.2113 0.2113 0.3662
Ba: 0.6276 0.6276 0.1171
Ba: 0.3724 0.3724 0.8829
H: 0.1203 0.1203 0.6391
H: 0.8797 0.8797 0.3609
O: 0.7001 0.7001 0.8997
O: 0.2999 0.2999 0.1003

Computed properties:
As for the density of states at the Fermi level: 0.0 states/eV per cell.

=====

2.
Here is crystalline InAs2Se2 at its relaxed geometry from Alexandria. Energies are from PBE.

Cell: 8.4760 8.4760 3.6095 Å, 90.00 90.00 90.00°
Positions (direct):
As: 0.2878 0.7878 0.0000
As: 0.7878 0.7122 0.0000
As: 0.7122 0.2122 0.0000
As: 0.2122 0.2878 0.0000
Se: 0.1463 0.6463 0.5000
Se: 0.6463 0.8537 0.5000
Se: 0.8537 0.3537 0.5000
Se: 0.3537 0.1463 0.5000
In: 0.0000 0.0000 0.0000
In: 0.5000 0.5000 0.0000

Computed properties:
The formation energy (no corrections) comes out at 0.44 kcal/mol of atoms. As for the density of states at the Fermi level: 2.6 states/eV per cell. The calculation puts the relative energy among the computed polymorphs at 0 meV/atom.

=====

3.
Here is crystalline CeYTm2 at its relaxed geometry from Alexandria. Energies are from PBE.

Cell: 3.5210 6.0967 11.2495 Å, 89.99 90.00 90.00°
Positions (direct):
Ce: 0.2499 0.2501 0.0000
Ce: 0.7501 0.7499 0.0000
Y: 0.2500 0.2500 0.5001
Y: 0.7500 0.7500 0.4999
Tm: 0.2499 0.9167 0.2454
Tm: 0.2502 0.5833 0.7546
Tm: 0.7498 0.4167 0.2454
Tm: 0.7501 0.0833 0.7546

Computed properties:
As for the density of states at the Fermi level: 14.8 states/eV per cell. For the formation energy, the calculation gives 0.026 eV per atom. The calculation puts the relative energy among the computed polymorphs at 0 meV/atom.

=====

4.
Here is crystalline SnHgI2 at its relaxed geometry from Alexandria. Energies are from PBE.

Cell: 9.3070 9.3070 8.2654 Å, 55.74 55.74 90.00°
Positions (direct):
I: 0.5463 0.1250 0.2500
I: 0.2037 0.6250 0.2500
I: 0.3750 0.4537 0.7500
I: 0.8750 0.7963 0.7500
Hg: 0.0000 0.0000 0.0000
Hg: 0.7500 0.2500 0.5000
Sn: 0.5000 0.5000 0.0000
Sn: 0.2500 0.7500 0.5000

Computed properties:
The formation energy (no corrections) comes out at -5.21 kcal/mol of atoms. As for the density of states at the Fermi level: 0.0 states/eV per cell. The calculation puts the relative energy among the computed polymorphs at 128 meV/atom.

=====

5.
Here is crystalline LiSc2Ni at its relaxed geometry from Alexandria. Energies are from PBE.

Cell: 4.3943 3.3421 5.2034 Å, 71.16 90.00 90.00°
Positions (direct):
Li: 0.0000 0.7017 0.4733
Ni: 0.5000 0.5514 0.7708
Sc: 0.0000 0.9818 0.9102
Sc: 0.5000 0.2651 0.3456

Computed properties:
As for the density of states at the Fermi level: 3.3 states/eV per cell. For the formation energy, the calculation gives -0.085 eV per atom.

=====

6.
Here is crystalline AcSn2Rh6 at its relaxed geometry from Alexandria. Energies are from PBE.

Cell: 8.1466 8.1466 8.1466 Å, 60.00 60.00 60.00°
Positions (direct):
Ac: 0.5000 0.5000 0.5000
Ac: 0.7500 0.7500 0.7500
Sn: 0.1250 0.1250 0.1250
Sn: 0.1250 0.6250 0.1250
Sn: 0.1250 0.1250 0.6250
Sn: 0.6250 0.1250 0.1250
Rh: 0.2626 0.2626 0.7374
Rh: 0.7374 0.7374 0.2626
Rh: 0.2626 0.7374 0.2626
Rh: 0.2626 0.7374 0.7374
Rh: 0.5126 0.5126 0.9874
Rh: 0.5126 0.9874 0.9874
Rh: 0.7374 0.2626 0.7374
Rh: 0.9874 0.9874 0.5126
Rh: 0.5126 0.9874 0.5126
Rh: 0.9874 0.5126 0.5126
Rh: 0.7374 0.2626 0.2626
Rh: 0.9874 0.5126 0.9874

Computed properties:
As for the density of states at the Fermi level: 15.4 states/eV per cell. For the formation energy, the calculation gives 0.106 eV per atom.

=====

Number 1: energy -4.04 eV/atom. Number 2: energy -3.78 eV/atom. Number 3: energy -5.31 eV/atom. Number 4: energy -2.08 eV/atom. Number 5: energy -5.17 eV/atom. Number 6: energy -6.14 eV/atom.